VASP calculation (GGA-PBEsol) on a relaxed Na3CoBAsO7 crystal.

Properties
total magnetic moment: 0.07 μB/f.u.
space group: P2_1/m
ΔE_f (raw): -1.655 eV per atom

Cell lengths 5.2313, 6.3852, 9.0293 Å; angles 90.00, 92.71, 90.00 degrees
Each line ends with the local moment (μB).
Fractional coordinates of all 26 atoms:
1 Na 0.7673 0.0000 0.9247  0.00
2 Na 0.2468 0.7550 0.7499  0.00
3 Na 0.2468 0.2450 0.7499  0.00
4 Na 0.7530 0.2550 0.2501  0.00
5 Na 0.7530 0.7450 0.2501  0.00
6 Na 0.2325 0.5000 0.0753  0.00
7 Co 0.7835 0.5000 0.6726  0.07
8 Co 0.2164 0.0000 0.3274  0.07
9 B 0.7217 0.5000 0.9282  0.00
10 B 0.2782 0.0000 0.0718  0.00
11 As 0.7170 0.0000 0.5703  0.00
12 As 0.2829 0.5000 0.4297  0.00
13 O 0.3147 0.0000 0.9260  0.00
14 O 0.9591 0.5000 0.8629  0.00
15 O 0.5307 0.5000 0.8150  0.00
16 O 0.7925 0.7982 0.6929  0.00
17 O 0.7925 0.2018 0.6929  0.00
18 O 0.3915 0.0000 0.5246  0.00
19 O 0.1171 0.5000 0.5866  0.00
20 O 0.8827 0.0000 0.4134  0.00
21 O 0.6084 0.5000 0.4755  0.00
22 O 0.2074 0.2982 0.3071  0.00
23 O 0.2074 0.7018 0.3071  0.00
24 O 0.4691 0.0000 0.1851  0.00
25 O 0.0408 0.0000 0.1371  0.00
26 O 0.6852 0.5000 0.0740  0.00


VASP calculation (GGA-PBEsol) on a relaxed Na2CoBAsO7 crystal.

Properties
total magnetic moment: 1.05 μB/f.u.
space group: P2_1/m
ΔE_f (raw): -1.503 eV per atom

Cell lengths 5.3556, 6.2998, 9.2023 Å; angles 90.00, 94.32, 90.00 degrees
Each line ends with the local moment (μB).
Fractional coordinates of all 24 atoms:
1 Na 0.2357 0.9991 0.7900  0.00
2 Na 0.2357 0.5009 0.7900  0.00
3 Na 0.7643 0.4991 0.2100  0.00
4 Na 0.7643 0.0009 0.2100  0.00
5 Co 0.7890 0.2500 0.6635  0.78
6 Co 0.2110 0.7500 0.3365  0.78
7 B 0.7212 0.2500 0.9120  -0.01
8 B 0.2788 0.7500 0.0880  -0.01
9 As 0.7204 0.7500 0.5604  0.00
10 As 0.2796 0.2500 0.4396  0.00
11 O 0.3273 0.7500 0.9509  0.04
12 O 0.9521 0.2500 0.8498  0.01
13 O 0.5426 0.2500 0.7893  0.04
14 O 0.8112 0.9552 0.6774  0.03
15 O 0.8112 0.5448 0.6774  0.03
16 O 0.1239 0.2500 0.5942  0.02
17 O 0.3982 0.7500 0.5243  0.03
18 O 0.6018 0.2500 0.4757  0.03
19 O 0.8761 0.7500 0.4058  0.02
20 O 0.1888 0.4552 0.3226  0.03
21 O 0.1888 0.0448 0.3226  0.03
22 O 0.4574 0.7500 0.2107  0.04
23 O 0.0479 0.7500 0.1502  0.01
24 O 0.6727 0.2500 0.0491  0.04


VASP calculation (GGA-PBEsol) on a relaxed CrBAs2Se crystal.

Properties
total magnetic moment: 1.07 μB/f.u.
space group: P4/mmm
ΔE_f (raw): 1.172 eV per atom

Cell lengths 4.5435, 4.5435, 4.6850 Å; angles 90.00, 90.00, 90.00 degrees
Each line ends with the local moment (μB).
Fractional coordinates of all 5 atoms:
1 Cr 0.0000 0.0000 0.0000  1.09
2 As 0.0000 0.5000 0.0000  -0.08
3 As 0.5000 0.0000 0.0000  -0.08
4 B 0.5000 0.5000 0.5000  0.09
5 Se 0.0000 0.0000 0.5000  -0.04


VASP calculation (GGA-PBEsol) on a relaxed CrB2AsSe crystal.

Properties
total magnetic moment: 3.73 μB/f.u.
space group: P4/mmm
ΔE_f (raw): 1.360 eV per atom

Cell lengths 4.0110, 4.0110, 4.9966 Å; angles 90.00, 90.00, 90.00 degrees
Each line ends with the local moment (μB).
Fractional coordinates of all 5 atoms:
1 Cr 0.0000 0.0000 0.5000  3.55
2 As 0.0000 0.0000 0.0000  -0.02
3 B 0.0000 0.5000 0.0000  -0.01
4 B 0.5000 0.0000 0.0000  -0.01
5 Se 0.5000 0.5000 0.5000  -0.04


VASP calculation (GGA-PBEsol) on a relaxed Cs3BAsP crystal.

Properties
total magnetic moment: 0.00 μB/f.u.
space group: Cc

Cell lengths 6.8872, 6.8872, 9.8334 Å; angles 75.83, 75.83, 89.02 degrees
Fractional coordinates of all 12 atoms:
1 Cs 0.1500 0.2546 0.0169
2 Cs 0.7414 0.8479 0.4800
3 Cs 0.8479 0.7414 0.9800
4 Cs 0.2546 0.1500 0.5169
5 Cs 0.3433 0.6522 0.2462
6 Cs 0.6522 0.3433 0.7462
7 P 0.8395 0.4067 0.3536
8 P 0.4067 0.8395 0.8536
9 As 0.5933 0.1648 0.1443
10 As 0.1648 0.5933 0.6443
11 B 0.7173 0.2920 0.2529
12 B 0.2920 0.7173 0.7529


VASP calculation (GGA-PBEsol) on a relaxed CsBAs2Se crystal.

Properties
total magnetic moment: 1.19 μB/f.u.
space group: P4/mmm
ΔE_f (raw): 2.482 eV per atom

Cell lengths 5.7258, 5.7258, 5.6339 Å; angles 90.00, 90.00, 90.00 degrees
Each line ends with the local moment (μB).
Fractional coordinates of all 5 atoms:
1 Cs 0.0000 0.0000 0.0000  0.01
2 As 0.0000 0.5000 0.0000  0.26
3 As 0.5000 0.0000 0.0000  0.26
4 B 0.5000 0.5000 0.5000  -0.04
5 Se 0.0000 0.0000 0.5000  0.07


VASP calculation (GGA-PBEsol) on a relaxed CsBAs2W crystal.

Properties
total magnetic moment: 2.98 μB/f.u.
space group: P4/mmm

Cell lengths 4.5219, 4.5219, 4.8053 Å; angles 90.00, 90.00, 90.00 degrees
Each line ends with the local moment (μB).
Fractional coordinates of all 5 atoms:
1 Cs 0.0000 0.0000 0.5000  0.07
2 As 0.0000 0.5000 0.0000  -0.09
3 As 0.5000 0.0000 0.0000  -0.09
4 B 0.0000 0.0000 0.0000  0.00
5 W 0.5000 0.5000 0.5000  2.42


VASP calculation (GGA-PBEsol) on a relaxed InCuB2As crystal.

Properties
total magnetic moment: 0.00 μB/f.u.
space group: P4/mmm

Cell lengths 3.8594, 3.8594, 5.3508 Å; angles 90.00, 90.00, 90.00 degrees
Fractional coordinates of all 5 atoms:
1 As 0.0000 0.0000 0.5000
2 B 0.0000 0.5000 0.0000
3 B 0.5000 0.0000 0.0000
4 Cu 0.0000 0.0000 0.0000
5 In 0.5000 0.5000 0.5000


VASP calculation (GGA-PBEsol) on a relaxed Li2CuBAs crystal.

Properties
total magnetic moment: 0.00 μB/f.u.
space group: P4/mmm

Cell lengths 3.7960, 4.1901, 4.1901 Å; angles 90.00, 90.00, 90.00 degrees
Fractional coordinates of all 5 atoms:
1 As 0.5000 0.5000 0.5000
2 B 0.0000 0.0000 0.0000
3 Cu 0.5000 0.0000 0.0000
4 Li 0.0000 0.0000 0.5000
5 Li 0.0000 0.5000 0.0000


VASP calculation (GGA-PBEsol) on a relaxed Na3CuBAsO7 crystal.

Properties
total magnetic moment: 1.11 μB/f.u.
space group: P2_1/m
ΔE_f (raw): -1.544 eV per atom

Cell lengths 5.1618, 6.8826, 8.9310 Å; angles 90.00, 91.80, 90.00 degrees
Each line ends with the local moment (μB).
Fractional coordinates of all 26 atoms:
1 Na 0.7671 0.7500 0.9217  0.00
2 Na 0.2524 0.9963 0.7448  0.00
3 Na 0.2524 0.5037 0.7448  0.00
4 Na 0.7476 0.4963 0.2552  0.00
5 Na 0.7476 0.0037 0.2552  0.00
6 Na 0.2329 0.2500 0.0783  0.00
7 As 0.7145 0.7500 0.5784  0.00
8 As 0.2855 0.2500 0.4216  0.00
9 B 0.7247 0.2500 0.9337  -0.01
10 B 0.2753 0.7500 0.0663  -0.01
11 O 0.3045 0.7500 0.9176  0.02
12 O 0.9626 0.2500 0.8649  0.10
13 O 0.5240 0.2500 0.8262  0.10
14 O 0.7858 0.9425 0.6944  0.10
15 O 0.7858 0.5575 0.6944  0.10
16 O 0.3854 0.7500 0.5330  0.05
17 O 0.1306 0.2500 0.5871  0.04
18 O 0.8694 0.7500 0.4129  0.04
19 O 0.6146 0.2500 0.4670  0.05
20 O 0.2142 0.4425 0.3056  0.10
21 O 0.2142 0.0575 0.3056  0.10
22 O 0.4760 0.7500 0.1738  0.10
23 O 0.0374 0.7500 0.1351  0.10
24 O 0.6955 0.2500 0.0824  0.02
25 Cu 0.7834 0.2500 0.6683  0.54
26 Cu 0.2166 0.7500 0.3317  0.54


VASP calculation (GGA-PBEsol) on a relaxed CuNiB2As crystal.

Properties
total magnetic moment: 0.00 μB/f.u.
space group: P4/mmm

Cell lengths 3.6608, 3.6608, 4.9368 Å; angles 90.00, 90.00, 90.00 degrees
Fractional coordinates of all 5 atoms:
1 Ni 0.0000 0.0000 0.0000
2 As 0.0000 0.0000 0.5000
3 B 0.0000 0.5000 0.0000
4 B 0.5000 0.0000 0.0000
5 Cu 0.5000 0.5000 0.5000


VASP calculation (GGA-PBEsol) on a relaxed Mg2BAsF crystal.

Properties
total magnetic moment: 0.00 μB/f.u.
space group: P4/mmm
ΔE_f (raw): 0.059 eV per atom

Cell lengths 4.0125, 4.0125, 4.8593 Å; angles 90.00, 90.00, 90.00 degrees
Fractional coordinates of all 5 atoms:
1 As 0.0000 0.0000 0.5000
2 B 0.5000 0.5000 0.5000
3 Mg 0.0000 0.5000 0.0000
4 Mg 0.5000 0.0000 0.0000
5 F 0.0000 0.0000 0.0000


VASP calculation (GGA-PBEsol) on a relaxed BAsOF2 crystal.

Properties
total magnetic moment: 0.00 μB/f.u.
space group: P4/mmm
ΔE_f (raw): -1.074 eV per atom

Cell lengths 2.6116, 4.5075, 4.5075 Å; angles 90.00, 90.00, 90.00 degrees
Fractional coordinates of all 5 atoms:
1 As 0.5000 0.5000 0.5000
2 B 0.0000 0.0000 0.0000
3 O 0.5000 0.0000 0.0000
4 F 0.0000 0.0000 0.5000
5 F 0.0000 0.5000 0.0000


VASP calculation (GGA-PBEsol) on a relaxed FeB2As crystal.

Properties
total magnetic moment: 1.12 μB/f.u.
space group: I-42d

Cell lengths 4.6701, 4.6701, 5.6099 Å; angles 114.60, 114.60, 90.00 degrees
Each line ends with the local moment (μB).
Fractional coordinates of all 8 atoms:
1 As 0.2500 0.7500 0.5000  0.06
2 As 0.0000 0.0000 0.0000  0.06
3 B 0.3962 0.8750 0.2500  -0.07
4 B 0.8538 0.3750 0.2500  -0.07
5 B 0.1250 0.1462 0.7500  -0.07
6 B 0.6250 0.6038 0.7500  -0.07
7 Fe 0.7500 0.2500 0.5000  1.23
8 Fe 0.5000 0.5000 0.0000  1.23


VASP calculation (GGA-PBEsol) on a relaxed GaBTe2As crystal.

Properties
total magnetic moment: 0.00 μB/f.u.
space group: P4/mmm
ΔE_f (raw): 0.862 eV per atom

Cell lengths 3.8579, 5.4386, 5.4386 Å; angles 90.00, 90.00, 90.00 degrees
Fractional coordinates of all 5 atoms:
1 As 0.5000 0.5000 0.5000
2 Te 0.0000 0.0000 0.5000
3 Te 0.0000 0.5000 0.0000
4 B 0.5000 0.0000 0.0000
5 Ga 0.0000 0.0000 0.0000


VASP calculation (GGA-PBEsol) on a relaxed GeB2As crystal.

Properties
total magnetic moment: 0.00 μB/f.u.
space group: I-42d

Cell lengths 4.8112, 4.8112, 5.8366 Å; angles 114.34, 114.34, 90.00 degrees
Fractional coordinates of all 8 atoms:
1 As 0.2500 0.7500 0.5000
2 As 0.0000 0.0000 0.0000
3 B 0.3702 0.8750 0.2500
4 B 0.8798 0.3750 0.2500
5 B 0.1250 0.1202 0.7500
6 B 0.6250 0.6298 0.7500
7 Ge 0.7500 0.2500 0.5000
8 Ge 0.5000 0.5000 0.0000


VASP calculation (GGA-PBEsol) on a relaxed InBAs2H crystal.

Properties
total magnetic moment: 0.00 μB/f.u.
space group: P4/mmm

Cell lengths 3.9865, 3.9865, 4.7047 Å; angles 90.00, 90.00, 90.00 degrees
Fractional coordinates of all 5 atoms:
1 H 0.0000 0.0000 0.0000
2 As 0.0000 0.5000 0.0000
3 As 0.5000 0.0000 0.0000
4 B 0.0000 0.0000 0.5000
5 In 0.5000 0.5000 0.5000


VASP calculation (GGA-PBEsol) on a relaxed BAsHSe2 crystal.

Properties
total magnetic moment: 0.00 μB/f.u.
space group: P4/mmm

Cell lengths 3.5395, 4.5447, 4.5447 Å; angles 90.00, 90.00, 90.00 degrees
Fractional coordinates of all 5 atoms:
1 H 0.0000 0.0000 0.0000
2 As 0.5000 0.0000 0.0000
3 B 0.5000 0.5000 0.5000
4 Se 0.0000 0.0000 0.5000
5 Se 0.0000 0.5000 0.0000


VASP calculation (GGA-PBEsol) on a relaxed HgB3As crystal.

Properties
total magnetic moment: 0.00 μB/f.u.
space group: Pm-3m

Cell lengths 4.1573, 4.1573, 4.1573 Å; angles 90.00, 90.00, 90.00 degrees
Fractional coordinates of all 5 atoms:
1 As 0.0000 0.0000 0.0000
2 B 0.0000 0.5000 0.0000
3 B 0.0000 0.0000 0.5000
4 B 0.5000 0.0000 0.0000
5 Hg 0.5000 0.5000 0.5000


VASP calculation (GGA-PBEsol) on a relaxed HgBAs2 crystal.

Properties
total magnetic moment: 0.00 μB/f.u.
space group: I-42d

Cell lengths 5.5551, 6.3565, 5.5551 Å; angles 64.09, 90.00, 115.91 degrees
Fractional coordinates of all 8 atoms:
1 As 0.2034 0.7500 0.8750
2 As 0.5466 0.7500 0.3750
3 As 0.3750 0.2500 0.2034
4 As 0.8750 0.2500 0.5466
5 B 0.2500 0.5000 0.2500
6 B 0.5000 0.0000 0.5000
7 Hg 0.7500 0.5000 0.7500
8 Hg 0.0000 0.0000 0.0000


Asked for raw total energy across the records above, the calculation gives -0.2327, -0.2372, -0.1871, -0.1943, -0.1408, -0.0706, -0.1687, -0.1558, -0.1403, -0.2190, -0.1871, -0.1263, -0.1955, -0.2352, -0.1338, -0.2124, -0.1365, -0.1264, -0.1305, -0.1548 hartree per atom in order.